The following is a meta-GGA SCAN calculation of Er7Te2Pt2 at its PBEsol-relaxed geometry, from Alexandria via LeMat-Bulk.

a b c (Å): 9.2046 9.2046 9.2046
angles (deg): 155.72 66.95 118.69
Fractional positions:
1 Er 0.0000 0.0000 0.0000
2 Er 0.0571 0.3737 0.6834
3 Er 0.0886 0.7326 0.3560
4 Er 0.3766 0.7326 0.6440
5 Er 0.4530 0.5829 0.8701
6 Er 0.6904 0.3737 0.3166
7 Er 0.7127 0.5829 0.1299
8 Te 0.3365 0.3365 0.0000
9 Te 0.7364 0.2364 0.5000
10 Pt 0.3094 0.0722 0.2373
11 Pt 0.8349 0.0722 0.7627

Formation energy without anion corrections = -114.7 kJ/mol of atoms
Calculated volume = 279.0 Å³/cell
DFT total energy = -52.759 eV/atom



The following is a meta-GGA SCAN calculation of RbErS2 at its PBEsol-relaxed geometry, from Alexandria via LeMat-Bulk.

a b c (Å): 7.8947 7.8947 7.8947
angles (deg): 29.18 29.18 29.18
Fractional positions:
1 Rb 0.0000 0.0000 0.0000
2 Er 0.5000 0.5000 0.5000
3 S 0.2307 0.2307 0.2307
4 S 0.7693 0.7693 0.7693

Formation energy without anion corrections = -205.0 kJ/mol of atoms
Calculated volume = 103.5 Å³/cell
DFT total energy = -24.709 eV/atom



The following is a meta-GGA SCAN calculation of RbErSe2 at its PBEsol-relaxed geometry, from Alexandria via LeMat-Bulk.

a b c (Å): 8.2107 8.2107 8.2107
angles (deg): 29.15 29.15 29.15
Fractional positions:
1 Rb 0.0000 0.0000 0.0000
2 Er 0.5000 0.5000 0.5000
3 Se 0.2319 0.2319 0.2319
4 Se 0.7681 0.7681 0.7681

Formation energy without anion corrections = -189.3 kJ/mol of atoms
Calculated volume = 116.2 Å³/cell
DFT total energy = -29.771 eV/atom



The following is a meta-GGA SCAN calculation of Er2Re3Si5 at its PBEsol-relaxed geometry, from Alexandria via LeMat-Bulk.

a b c (Å): 10.8849 10.8849 5.4227
angles (deg): 90.00 90.00 90.00
Fractional positions:
1 Er 0.0777 0.2369 0.0000
2 Er 0.2369 0.9223 0.0000
3 Er 0.2631 0.4223 0.5000
4 Er 0.4223 0.7369 0.5000
5 Er 0.5777 0.2631 0.5000
6 Er 0.7369 0.5777 0.5000
7 Er 0.7631 0.0777 0.0000
8 Er 0.9223 0.7631 0.0000
9 Re 0.0000 0.5000 0.2500
10 Re 0.0000 0.5000 0.7500
11 Re 0.1227 0.8529 0.5000
12 Re 0.1471 0.1227 0.5000
13 Re 0.3529 0.6227 0.0000
14 Re 0.3773 0.3529 0.0000
15 Re 0.5000 0.0000 0.2500
16 Re 0.5000 0.0000 0.7500
17 Re 0.6227 0.6471 0.0000
18 Re 0.6471 0.3773 0.0000
19 Re 0.8529 0.8773 0.5000
20 Re 0.8773 0.1471 0.5000
21 Si 0.0000 0.0000 0.2377
22 Si 0.0000 0.0000 0.7623
23 Si 0.0298 0.3135 0.5000
24 Si 0.1721 0.6721 0.2500
25 Si 0.1721 0.6721 0.7500
26 Si 0.1865 0.4702 0.0000
27 Si 0.3135 0.9702 0.5000
28 Si 0.3279 0.1721 0.2500
29 Si 0.3279 0.1721 0.7500
30 Si 0.4702 0.8135 0.0000
31 Si 0.5000 0.5000 0.2623
32 Si 0.5000 0.5000 0.7377
33 Si 0.5298 0.1865 0.0000
34 Si 0.6721 0.8279 0.2500
35 Si 0.6721 0.8279 0.7500
36 Si 0.6865 0.0298 0.5000
37 Si 0.8135 0.5298 0.0000
38 Si 0.8279 0.3279 0.2500
39 Si 0.8279 0.3279 0.7500
40 Si 0.9702 0.6865 0.5000

Formation energy without anion corrections = -59.0 kJ/mol of atoms
Calculated volume = 642.5 Å³/cell
DFT total energy = -37.017 eV/atom